Here is an optimized crystal structure of BaTcPO from OQMD via LeMat-Bulk. Energies are from PBE-GGA.

Total moment   0.0 Bohr magnetons per cell
Raw total energy   -6.655 eV/atom
Crystal system   orthorhombic

a b c (Å): 3.880 6.399 6.900
angles (deg): 90.00 90.00 90.00
Space group Pmc2_1 (No. 26)
Unique sites:
Ba1 0.000 0.207 0.000 [2 per cell]
Tc1 0.500 0.292 0.416 [2 per cell]
P1 0.500 0.449 0.701 [2 per cell]
O1 0.000 0.186 0.391 [2 per cell]

Here is an optimized crystal structure of NdIrPb from OQMD via LeMat-Bulk. Energies are from PBE-GGA.

Total moment   0.1 Bohr magnetons per cell
Raw total energy   -5.563 eV/atom
Crystal system   cubic

a b c (Å): 6.855 6.855 6.855
angles (deg): 90.00 90.00 90.00
Space group F-43m (No. 216)
Unique sites:
Nd1 0.000 0.000 0.000 [4 per cell]
Ir1 0.000 0.000 0.500 [4 per cell]
Pb1 0.250 0.250 0.750 [4 per cell]

Here is an optimized crystal structure of Cd3Hg5 from OQMD via LeMat-Bulk. Energies are from PBE-GGA.

Formation enthalpy at 0 K   0.022 eV/atom
Crystal system   hexagonal

a b c (Å): 15.4012 15.4012 5.9615
angles (deg): 90.00 90.00 120.00
Space group P6_3mc (No. 186)
Unique sites:
Cd1 0.0646 0.5323 0.0016 [6 per cell]
Cd2 0.1343 0.2686 0.0000 [6 per cell]
Cd3 0.1990 0.3979 0.5093 [6 per cell]
Hg1 0.0022 0.3345 0.2528 [12 per cell]
Hg2 0.0729 0.1459 0.5076 [6 per cell]
Hg3 0.1874 0.5937 0.5105 [6 per cell]
Hg4 0.2605 0.5209 0.0118 [6 per cell]

Here is an optimized crystal structure of ErAgPbS3 from OQMD via LeMat-Bulk. Energies are from PBE-GGA.

Total moment   0.0 Bohr magnetons per cell
Raw total energy   -4.928 eV/atom
Crystal system   orthorhombic

a b c (Å): 10.422 4.010 13.177
angles (deg): 90.00 90.00 90.00
Space group Pnma (No. 62)
Unique sites:
Er1 0.020 0.250 0.241 [4 per cell]
Ag1 0.234 0.250 0.717 [4 per cell]
Pb1 0.218 0.750 0.498 [4 per cell]
S1 0.030 0.250 0.617 [4 per cell]
S2 0.072 0.750 0.108 [4 per cell]
S3 0.234 0.750 0.838 [4 per cell]

Here is an optimized crystal structure of DyTm3Ni8 from OQMD via LeMat-Bulk. Energies are from PBE-GGA.

Total moment   0.0 Bohr magnetons per cell
Formation enthalpy at 0 K   -0.485 eV/atom
Crystal system   trigonal

a b c (Å): 5.0108 5.0108 24.6109
angles (deg): 90.00 90.00 120.00
Space group R3m (No. 160, hexagonal axes)
Unique sites:
Dy1 0.0000 0.0000 0.0000 [3 per cell]
Tm1 0.0000 0.0000 0.3756 [3 per cell]
Tm2 0.0000 0.0000 0.5002 [3 per cell]
Tm3 0.0000 0.0000 0.8749 [3 per cell]
Ni1 0.0000 0.0000 0.1877 [3 per cell]
Ni2 0.0000 0.0000 0.6878 [3 per cell]
Ni3 0.9998 0.4999 0.9372 [9 per cell]
Ni4 0.0010 0.5005 0.4380 [9 per cell]

Here is an optimized crystal structure of SrCuSb from OQMD via LeMat-Bulk. Energies are from PBE-GGA.

Raw total energy   -3.889 eV/atom
Crystal system   hexagonal

a b c (Å): 4.5486 4.5486 8.8417
angles (deg): 90.00 90.00 120.00
Space group P6_3/mmc (No. 194)
Unique sites:
Sr1 0.0000 0.0000 0.0000 [2 per cell]
Cu1 0.3333 0.6667 0.2500 [2 per cell]
Sb1 0.3333 0.6667 0.7500 [2 per cell]